DFT (PBE-GGA) results for PrHoCu2Ge2 after structural relaxation.

## Properties
E (eV per atom): -5.14
Calculated volume (A^3/atom): 20.12
Magnetic moment (μB/cell): 0.00
Density of states at the Fermi level (states/eV/f.u.): 1.4
Energy of formation (eV per atom): -0.67

```
data_PrHoCu2Ge2
_chemical_formula_sum 'Pr1 Ho1 Cu2 Ge2'
_cell_length_a 4.2798
_cell_length_b 4.2798
_cell_length_c 7.6086
_cell_angle_alpha 90.00
_cell_angle_beta 90.00
_cell_angle_gamma 120.00
_space_group_name_H-M_alt 'P -3 m 1'
_space_group_IT_number 164
_space_group_name_Hall '-P 3 2"'
loop_
_atom_site_label
_atom_site_type_symbol
_atom_site_fract_x
_atom_site_fract_y
_atom_site_fract_z
Pr1 Pr 0.0000 0.0000 0.0000
Ho1 Ho 0.0000 0.0000 0.5000
Cu1 Cu 0.3333 0.6667 0.7262
Ge1 Ge 0.3333 0.6667 0.2629
```


DFT (PBE-GGA) results for Pr2HoCu2Ge2 after structural relaxation.

## Properties
E (eV per atom): -5.01
Calculated volume (A^3/atom): 23.42
Magnetic moment (μB/cell): 0.01
Density of states at the Fermi level (states/eV/f.u.): 5.6
Energy of formation (eV per atom): -0.50

```
data_Pr2HoCu2Ge2
_chemical_formula_sum 'Pr6 Ho3 Cu6 Ge6'
_cell_length_a 4.2574
_cell_length_b 4.2574
_cell_length_c 31.3364
_cell_angle_alpha 90.00
_cell_angle_beta 90.00
_cell_angle_gamma 120.00
_space_group_name_H-M_alt 'R -3 m'
_space_group_IT_number 166
_space_group_name_Hall '-R 3 2"'
loop_
_atom_site_label
_atom_site_type_symbol
_atom_site_fract_x
_atom_site_fract_y
_atom_site_fract_z
Pr1 Pr 0.0000 0.0000 0.1197
Ho1 Ho 0.0000 0.0000 0.0000
Cu1 Cu 0.0000 0.0000 0.3872
Ge1 Ge 0.0000 0.0000 0.2750
```


DFT (PBE-GGA) results for Ho2CuGe4Pt3 after structural relaxation.

## Properties
E (eV per atom): -5.77
Calculated volume (A^3/atom): 18.40
Magnetic moment (μB/cell): 0.00
Density of states at the Fermi level (states/eV/f.u.): 4.8
Energy of formation (eV per atom): -0.79

```
data_Ho2CuGe4Pt3
_chemical_formula_sum 'Ho2 Cu1 Ge4 Pt3'
_cell_length_a 4.1404
_cell_length_b 4.1404
_cell_length_c 10.7317
_cell_angle_alpha 90.00
_cell_angle_beta 90.00
_cell_angle_gamma 90.00
_space_group_name_H-M_alt 'P -4 m 2'
_space_group_IT_number 115
loop_
_space_group_symop_operation_xyz
'x,y,z'
'y,-x,-z'
'-x,-y,z'
'-y,x,-z'
'-x,y,z'
'-y,-x,-z'
'x,-y,z'
'y,x,-z'
loop_
_atom_site_label
_atom_site_type_symbol
_atom_site_fract_x
_atom_site_fract_y
_atom_site_fract_z
Ho1 Ho 0.0000 0.5000 0.2345
Cu1 Cu 0.5000 0.5000 0.0000
Ge1 Ge 0.0000 0.0000 0.5000
Ge2 Ge 0.0000 0.5000 0.8670
Ge3 Ge 0.5000 0.5000 0.5000
Pt1 Pt 0.0000 0.0000 0.0000
Pt2 Pt 0.0000 0.5000 0.6392
```


DFT (PBE-GGA) results for Ho2CuGePt6 after structural relaxation.

## Properties
E (eV per atom): -6.16
Calculated volume (A^3/atom): 20.35
Magnetic moment (μB/cell): 0.00
Density of states at the Fermi level (states/eV/f.u.): 4.8
Energy of formation (eV per atom): -0.75

```
data_Ho2CuGePt6
_chemical_formula_sum 'Ho4 Cu2 Ge2 Pt12'
_cell_length_a 9.5771
_cell_length_b 5.5355
_cell_length_c 8.3099
_cell_angle_alpha 90.00
_cell_angle_beta 112.48
_cell_angle_gamma 90.00
_space_group_name_H-M_alt 'C 1 2/m 1'
_space_group_IT_number 12
loop_
_space_group_symop_operation_xyz
'x,y,z'
'-x,-y,-z'
'-x,y,-z'
'x,-y,z'
'x+1/2,y+1/2,z'
'-x+1/2,-y+1/2,-z'
'-x+1/2,y+1/2,-z'
'x+1/2,-y+1/2,z'
loop_
_atom_site_label
_atom_site_type_symbol
_atom_site_fract_x
_atom_site_fract_y
_atom_site_fract_z
Ho1 Ho 0.1997 0.0000 0.1000
Cu1 Cu 0.0000 0.5000 0.0000
Ge1 Ge 0.0000 0.0000 0.5000
Pt1 Pt 0.0015 0.2531 0.2533
Pt2 Pt 0.2486 0.5000 0.2540
```


DFT (PBE-GGA) results for HoCuGePt3 after structural relaxation.

## Properties
E (eV per atom): -5.79
Calculated volume (A^3/atom): 18.33
Magnetic moment (μB/cell): 0.00
Density of states at the Fermi level (states/eV/f.u.): 3.3
Energy of formation (eV per atom): -0.55

```
data_HoCuGePt3
_chemical_formula_sum 'Ho4 Cu4 Ge4 Pt12'
_cell_length_a 6.7500
_cell_length_b 11.5717
_cell_length_c 5.6319
_cell_angle_alpha 90.00
_cell_angle_beta 90.00
_cell_angle_gamma 90.00
_space_group_name_H-M_alt 'C m c m'
_space_group_IT_number 63
_space_group_name_Hall '-C 2c 2'
loop_
_atom_site_label
_atom_site_type_symbol
_atom_site_fract_x
_atom_site_fract_y
_atom_site_fract_z
Ho1 Ho 0.0000 0.1968 0.2500
Cu1 Cu 0.0000 0.4302 0.2500
Ge1 Ge 0.0000 0.1314 0.7500
Pt1 Pt 0.0000 0.3372 0.7500
Pt2 Pt 0.2150 0.0000 0.0000
```


DFT (PBE-GGA) results for HoPuCuGe after structural relaxation.

## Properties
E (eV per atom): -7.24
Calculated volume (A^3/atom): 21.74
Magnetic moment (μB/cell): 24.68
Density of states at the Fermi level (states/eV/f.u.): 7.1
Energy of formation (eV per atom): -0.34

```
data_HoPuCuGe
_chemical_formula_sum 'Ho4 Pu4 Cu4 Ge4'
_cell_length_a 7.0333
_cell_length_b 7.0333
_cell_length_c 7.0333
_cell_angle_alpha 90.00
_cell_angle_beta 90.00
_cell_angle_gamma 90.00
_space_group_name_H-M_alt 'F -4 3 m'
_space_group_IT_number 216
_space_group_name_Hall 'F -4 2 3'
loop_
_atom_site_label
_atom_site_type_symbol
_atom_site_fract_x
_atom_site_fract_y
_atom_site_fract_z
Ho1 Ho 0.0000 0.0000 0.0000
Pu1 Pu 0.0000 0.0000 0.5000
Cu1 Cu 0.2500 0.2500 0.2500
Ge1 Ge 0.2500 0.2500 0.7500
```


DFT (PBE-GGA) results for HoPuCu2Ge2 after structural relaxation.

## Properties
E (eV per atom): -6.56
Calculated volume (A^3/atom): 19.41
Magnetic moment (μB/cell): 5.16
Density of states at the Fermi level (states/eV/f.u.): 12.2
Energy of formation (eV per atom): -0.50

```
data_HoPuCu2Ge2
_chemical_formula_sum 'Ho1 Pu1 Cu2 Ge2'
_cell_length_a 4.2356
_cell_length_b 4.2356
_cell_length_c 7.4973
_cell_angle_alpha 90.00
_cell_angle_beta 90.00
_cell_angle_gamma 120.00
_space_group_name_H-M_alt 'P -3 m 1'
_space_group_IT_number 164
_space_group_name_Hall '-P 3 2"'
loop_
_atom_site_label
_atom_site_type_symbol
_atom_site_fract_x
_atom_site_fract_y
_atom_site_fract_z
Ho1 Ho 0.0000 0.0000 0.0000
Pu1 Pu 0.0000 0.0000 0.5000
Cu1 Cu 0.3333 0.6667 0.2355
Ge1 Ge 0.3333 0.6667 0.7502
```


DFT (PBE-GGA) results for Ho2Cu3Ge4Rh after structural relaxation.

## Properties
E (eV per atom): -5.26
Calculated volume (A^3/atom): 17.23
Magnetic moment (μB/cell): 0.00
Density of states at the Fermi level (states/eV/f.u.): 3.4
Energy of formation (eV per atom): -0.53

```
data_Ho2Cu3Ge4Rh
_chemical_formula_sum 'Ho2 Cu3 Ge4 Rh1'
_cell_length_a 4.0939
_cell_length_b 4.0939
_cell_length_c 10.2816
_cell_angle_alpha 90.00
_cell_angle_beta 90.00
_cell_angle_gamma 90.00
_space_group_name_H-M_alt 'P -4 m 2'
_space_group_IT_number 115
loop_
_space_group_symop_operation_xyz
'x,y,z'
'y,-x,-z'
'-x,-y,z'
'-y,x,-z'
'-x,y,z'
'-y,-x,-z'
'x,-y,z'
'y,x,-z'
loop_
_atom_site_label
_atom_site_type_symbol
_atom_site_fract_x
_atom_site_fract_y
_atom_site_fract_z
Ho1 Ho 0.0000 0.5000 0.2469
Cu1 Cu 0.0000 0.0000 0.0000
Cu2 Cu 0.0000 0.5000 0.6356
Ge1 Ge 0.0000 0.0000 0.5000
Ge2 Ge 0.0000 0.5000 0.8650
Ge3 Ge 0.5000 0.5000 0.5000
Rh1 Rh 0.5000 0.5000 0.0000
```


DFT (PBE-GGA) results for Ho2CuGe2Rh5 after structural relaxation.

## Properties
E (eV per atom): -6.61
Calculated volume (A^3/atom): 16.65
Magnetic moment (μB/cell): 0.00
Density of states at the Fermi level (states/eV/f.u.): 4.4
Energy of formation (eV per atom): -0.69

```
data_Ho2CuGe2Rh5
_chemical_formula_sum 'Ho4 Cu2 Ge4 Rh10'
_cell_length_a 9.7163
_cell_length_b 9.7163
_cell_length_c 3.5273
_cell_angle_alpha 90.00
_cell_angle_beta 90.00
_cell_angle_gamma 90.00
_space_group_name_H-M_alt 'P 4/m b m'
_space_group_IT_number 127
_space_group_name_Hall '-P 4 2ab'
loop_
_atom_site_label
_atom_site_type_symbol
_atom_site_fract_x
_atom_site_fract_y
_atom_site_fract_z
Ho1 Ho 0.1723 0.3277 0.0000
Cu1 Cu 0.0000 0.0000 0.0000
Ge1 Ge 0.1280 0.6280 0.0000
Rh1 Rh 0.0000 0.5000 0.5000
Rh2 Rh 0.0652 0.7967 0.5000
```


DFT (PBE-GGA) results for HoCuGe2Rh after structural relaxation.

## Properties
E (eV per atom): -5.69
Calculated volume (A^3/atom): 17.46
Magnetic moment (μB/cell): 0.00
Density of states at the Fermi level (states/eV/f.u.): 2.9
Energy of formation (eV per atom): -0.63

```
data_HoCuGe2Rh
_chemical_formula_sum 'Ho2 Cu2 Ge4 Rh2'
_cell_length_a 4.1251
_cell_length_b 4.1251
_cell_length_c 10.2618
_cell_angle_alpha 90.00
_cell_angle_beta 90.00
_cell_angle_gamma 90.00
_space_group_name_H-M_alt 'I -4 m 2'
_space_group_IT_number 119
_space_group_name_Hall 'I -4 -2'
loop_
_atom_site_label
_atom_site_type_symbol
_atom_site_fract_x
_atom_site_fract_y
_atom_site_fract_z
Ho1 Ho 0.0000 0.0000 0.0000
Cu1 Cu 0.0000 0.5000 0.7500
Ge1 Ge 0.0000 0.0000 0.3798
Rh1 Rh 0.0000 0.5000 0.2500
```